DFT (PBE+U) results for crystalline MgW2O7 at its relaxed geometry.

Volume: 315 Å³ per cell
Offset from the most stable computed form: 0 meV/atom
M_tot: 0.0 μB per formula unit

Lattice parameters (Å, degrees): 6.2364 6.2933 8.5329 90.00 109.96 90.00
Closest atoms and distances in Å follow each position.
Space group P2_1 (No. 4)
Unique sites:
1 Mg 0.0288 0.0000 0.1345  5 O 1.98-2.21
2 W 0.1899 0.5246 0.2939  4 O 1.79-1.86
3 W 0.3811 0.6221 0.7425  3 O 1.75-1.82
4 O 0.0180 0.2914 0.2764  1 W 1.79
5 O 0.0596 0.6577 0.0890  1 W 1.86, 1 Mg 2.05
6 O 0.1872 0.4108 0.7518  1 W 1.82, 1 Mg 1.99
7 O 0.2126 0.6678 0.4868  1 W 1.84
8 O 0.3624 0.9802 0.2511  1 W 1.82, 1 Mg 1.98
9 O 0.4386 0.7450 0.9369  1 W 1.75
10 O 0.4662 0.4193 0.3155  1 W 1.80